Record 1
First-principles (PBE) data for an optimized crystal structure of SmAl2GaAu5, as listed in Alexandria.

Lattice parameters (Å, degrees): 7.7903 7.7903 7.7903 144.61 135.01 58.50
Atoms (fractional coordinates):
Sm: 0.0000 0.0000 0.0000
Al: 0.3127 0.8127 0.5000
Al: 0.6873 0.1873 0.5000
Ga: 0.5000 0.5000 0.0000
Au: 0.0816 0.3409 0.7407
Au: 0.3998 0.6591 0.7407
Au: 0.5000 0.0000 0.5000
Au: 0.6002 0.3409 0.2593
Au: 0.9184 0.6591 0.2593

The density of states at the Fermi level comes out at 3.123 states/eV/cell. The total DFT energy (no corrections) comes out at -3.808 eV/atom.

---

Record 2
First-principles (PBE) data for an optimized crystal structure of Sm3AlGa2Au6, as listed in Alexandria.

Lattice parameters (Å, degrees): 6.0820 6.0820 8.3980 90.00 90.00 120.00
Atoms (fractional coordinates):
Sm: 0.0000 0.0000 0.0000
Sm: 0.3333 0.6667 0.6247
Sm: 0.6667 0.3333 0.3753
Al: 0.0000 0.0000 0.5000
Ga: 0.3333 0.6667 0.0114
Ga: 0.6667 0.3333 0.9886
Au: 0.1758 0.3517 0.2820
Au: 0.1758 0.8242 0.2820
Au: 0.3517 0.1758 0.7180
Au: 0.6483 0.8242 0.2820
Au: 0.8242 0.1758 0.7180
Au: 0.8242 0.6483 0.7180

The density of states at the Fermi level comes out at 4.642 states/eV/cell. The total DFT energy (no corrections) comes out at -4.183 eV/atom.